(1)
# ZnNiSbCl2

A relaxed ZnNiSbCl2 crystal (PBE, the Alexandria database). Values from VASP.

Properties
The value obtained for the formation energy (no corrections) is 181 meV per atom. As for the magnetic moment: 0.965 μB/cell.

Geometry as Quantum ESPRESSO input:
```
&SYSTEM
  ibrav = 0, nat = 5, ntyp = 4
/
ATOMIC_SPECIES
Sb 121.76 Sb.upf
Zn 65.41 Zn.upf
Cl 35.45 Cl.upf
Ni 58.69 Ni.upf
CELL_PARAMETERS angstrom
5.3616 0.0000 0.0000
0.0000 4.9696 0.0000
0.0000 0.0000 5.3616
ATOMIC_POSITIONS crystal
Sb 0.0000 0.0000 0.0000
Zn 0.5000 0.5000 0.5000
Cl 0.0000 0.0000 0.5000
Cl 0.5000 0.0000 0.0000
Ni 0.0000 0.5000 0.0000
```

***

(2)
# ScNiCl

A relaxed ScNiCl crystal (PBE, the Alexandria database). Values from VASP.

Properties
The value obtained for the formation energy (no corrections) is -645 meV per atom. As for the magnetic moment: 0.000 μB/cell.

Geometry as Quantum ESPRESSO input:
```
&SYSTEM
  ibrav = 0, nat = 3, ntyp = 3
/
ATOMIC_SPECIES
Cl 35.45 Cl.upf
Ni 58.69 Ni.upf
Sc 44.96 Sc.upf
CELL_PARAMETERS angstrom
-3.9555 -4.9699 1.4265
-1.2852 -6.3523 0.6129
0.6042 -0.5967 2.9971
ATOMIC_POSITIONS crystal
Cl 0.0356 0.0359 0.9644
Ni 0.2923 0.2916 0.7077
Sc 0.6720 0.6725 0.3280
```

***

(3)
# Sc2NiCl

A relaxed Sc2NiCl crystal (PBE, the Alexandria database). Values from VASP.

Properties
The value obtained for the formation energy (no corrections) is -198 meV per atom. Its energy above the most stable polymorph in this dataset is 641 meV per atom. As for the magnetic moment: 0.000 μB/cell.

Geometry as Quantum ESPRESSO input:
```
&SYSTEM
  ibrav = 0, nat = 4, ntyp = 3
/
ATOMIC_SPECIES
Sc 44.96 Sc.upf
Ni 58.69 Ni.upf
Cl 35.45 Cl.upf
CELL_PARAMETERS angstrom
1.8012 0.0000 9.0179
-0.9006 1.5599 9.0179
-0.9006 -1.5599 9.0179
ATOMIC_POSITIONS crystal
Sc 0.9116 0.9116 0.9116
Sc 0.0884 0.0884 0.0884
Ni 0.0000 0.0000 0.0000
Cl 0.5000 0.5000 0.5000
```